PuHS: optimized geometry, PBE.

abc: 3.904 3.904 5.965
angles: 90.00 90.00 90.00
Fractional positions:
Pu: 0.250 0.250 0.213
Pu: 0.750 0.750 0.787
H: 0.250 0.750 0.000
H: 0.750 0.250 0.000
S: 0.250 0.250 0.685
S: 0.750 0.750 0.315

Calculated values
**Uncorrected energy**: -8.450 eV/atom